Entry 1:
A plane-wave DFT calculation with PBE-GGA was carried out for a geometry-optimized Zn3BrN structure.

a = 5.1080 Å, b = 5.1080 Å, c = 5.1080 Å
α = 90.00°, β = 90.00°, γ = 90.00°
Last column: nearest neighbours and their distance in Å.
Fractional coordinates of all 5 atoms:
Zn 0.0000 0.5000 0.0000  2 Br 2.55
Zn 0.0000 0.0000 0.5000  2 Br 2.55
Zn 0.5000 0.0000 0.0000  2 Br 2.55
Br 0.0000 0.0000 0.0000  6 Zn 2.55
N 0.5000 0.5000 0.5000  12 Zn 3.61

Summary:
**Size of the total moment**: 0.00 μB/cell
**Total energy**: -4.99 eV/f.u.
**N(E_F)**: 2.4 states/eV/cell
**Space-group type**: Pm-3m



Entry 2:
A plane-wave DFT calculation with PBE-GGA was carried out for a geometry-optimized ZnBrN2 structure.

a = 4.0699 Å, b = 4.0699 Å, c = 4.0699 Å
α = 60.00°, β = 60.00°, γ = 60.00°
Last column: nearest neighbours and their distance in Å.
Fractional coordinates of all 4 atoms:
Zn 0.0000 0.0000 0.0000  8 N 2.49
Br 0.5000 0.5000 0.5000  8 N 2.49
N 0.2500 0.2500 0.2500  4 Zn 2.49, 4 Br 2.49
N 0.7500 0.7500 0.7500  4 Br 2.49, 4 Zn 2.49

Summary:
**Size of the total moment**: 0.00 μB/cell
**Total energy**: -10.62 eV/f.u.
**N(E_F)**: 4.3 states/eV/cell
**Space-group type**: Fm-3m



Entry 3:
A plane-wave DFT calculation with PBE-GGA was carried out for a geometry-optimized ZnBr2N structure.

a = 9.0746 Å, b = 9.0746 Å, c = 9.0746 Å
α = 31.46°, β = 31.46°, γ = 31.46°
Last column: nearest neighbours and their distance in Å.
Fractional coordinates of all 4 atoms:
Zn 0.0000 0.0000 0.0000  2 Br 2.21
Br 0.9144 0.9144 0.9144  1 Zn 2.21
Br 0.0856 0.0856 0.0856  1 Zn 2.21
N 0.5000 0.5000 0.5000  6 Br 3.53

Summary:
**Size of the total moment**: 3.00 μB/cell
**Total energy**: -9.52 eV/f.u.
**N(E_F)**: 0.0 states/eV/cell
**Space-group type**: R-3m



Entry 4:
A plane-wave DFT calculation with PBE-GGA was carried out for a geometry-optimized ZnBr2N2 structure.

a = 7.2251 Å, b = 7.2251 Å, c = 7.2251 Å
α = 111.65°, β = 105.76°, γ = 111.07°
Last column: nearest neighbours and their distance in Å.
Fractional coordinates of all 10 atoms:
Zn 0.7500 0.0952 0.3452  2 N 2.12, 2 Br 2.31
Zn 0.2500 0.9048 0.6548  2 N 2.12, 2 Br 2.31
Br 0.4861 0.7308 0.2447  1 Zn 2.31
Br 0.5139 0.2692 0.7553  1 Zn 2.31
Br 0.9861 0.7414 0.7553  1 Zn 2.31
Br 0.0139 0.2586 0.2447  1 Zn 2.31
N 0.5519 0.2470 0.2989  1 Zn 2.12
N 0.0519 0.7530 0.3049  1 Zn 2.12
N 0.4481 0.7530 0.7011  1 Zn 2.12
N 0.9481 0.2470 0.6951  1 Zn 2.12

Summary:
**Size of the total moment**: 12.13 μB/cell
**Total energy**: -13.13 eV/f.u.
**N(E_F)**: 0.0 states/eV/cell
**Space-group type**: Imma